Material: Sn2AsPb
Method: DFT, PBE
State: optimized geometry

a = 3.801 Å, b = 3.801 Å, c = 7.387 Å
α = 90.00°, β = 90.00°, γ = 90.00°
Element x y z (fractional)
Pb 0.500 0.500 0.500
As 0.500 0.500 0.000
Sn 0.000 0.000 0.790
Sn 0.000 0.000 0.210

Values from the calculation:
**Energy relative to the lowest polymorph listed for this composition**: 55 meV/atom
**DOS(E_F)**: 1.36 states/eV/cell
**ΔH_f (0 K)**: 0.09 eV per atom